First-principles (PBE) data for a geometry-optimized Fe3TcPt6 structure, as listed in Alexandria via LeMat-Bulk.

Lattice parameters (Å, degrees): 3.865 8.680 8.712 90.25 90.00 90.00
Each line ends with the local moment (μB).
Fractional coordinates of all 20 atoms:
Fe  0.250  0.549  0.397  2.98
Fe  0.750  0.451  0.603  2.98
Fe  0.250  0.353  0.801  3.02
Fe  0.750  0.647  0.199  3.02
Fe  0.250  0.746  0.000  3.11
Fe  0.750  0.254  0.000  3.11
Tc  0.250  0.958  0.588  -0.06
Tc  0.750  0.042  0.412  -0.06
Pt  0.250  0.455  0.101  0.37
Pt  0.750  0.545  0.899  0.37
Pt  0.250  0.153  0.198  0.20
Pt  0.750  0.847  0.802  0.20
Pt  0.250  0.641  0.695  0.31
Pt  0.750  0.359  0.305  0.31
Pt  0.250  0.258  0.505  0.21
Pt  0.750  0.742  0.495  0.21
Pt  0.250  0.841  0.297  0.23
Pt  0.750  0.159  0.703  0.23
Pt  0.250  0.057  0.899  0.28
Pt  0.750  0.943  0.101  0.28

DOS at the Fermi energy, states/eV per atom: 0.85
Space-group type: No. 11

***

First-principles (PBE) data for a geometry-optimized NaLiPt structure, as listed in Alexandria via LeMat-Bulk.

Lattice parameters (Å, degrees): 2.772 4.590 4.590 120.00 90.00 90.00
Fractional coordinates of all 3 atoms:
Na  0.710  0.333  0.667
Pt  0.268  0.667  0.333
Li  0.022  0.000  0.000

DOS at the Fermi energy, states/eV per atom: 0.19
Space-group type: No. 156
Relative energy among the computed polymorphs, eV per atom: 0.0694

***

Record-wise formation enthalpy at 0 K values, in eV per atom: -0.204, -0.289